No. 1
Here is a geometry-optimized TcAs2W structure from Alexandria. Energies are from PBE.

Properties
Its formation energy is 51 meV per atom.

Cell lengths 6.389, 6.389, 6.389 Å; angles 150.14, 149.82, 42.97 degrees
Positions (direct):
1 As 0.957 0.957 0.000
2 As 0.706 0.206 0.500
3 Tc 0.542 0.542 0.000
4 W 0.295 0.795 0.500

---

No. 2
Here is a geometry-optimized YSbAu3 structure from Alexandria. Energies are from PBE.

Properties
For the uncorrected formation energy, the calculation gives 543 meV/atom.

Cell lengths 5.359, 5.359, 5.359 Å; angles 90.00, 90.00, 90.00 degrees
Positions (direct):
1 Y 0.000 0.000 0.000
2 Sb 0.500 0.500 0.500
3 Au 0.000 0.500 0.000
4 Au 0.000 0.000 0.500
5 Au 0.500 0.000 0.000

---

No. 3
Here is a geometry-optimized CeZn6Ni12 structure from Alexandria. Energies are from PBE.

Properties
Its formation energy is -8 meV per atom.

Cell lengths 6.668, 6.668, 6.668 Å; angles 105.46, 105.46, 105.46 degrees
Positions (direct):
1 Ce 0.000 0.000 0.000
2 Zn 0.705 0.294 0.294
3 Zn 0.294 0.294 0.705
4 Zn 0.294 0.705 0.294
5 Zn 0.706 0.706 0.295
6 Zn 0.295 0.706 0.706
7 Zn 0.706 0.295 0.706
8 Ni 0.889 0.111 0.500
9 Ni 0.881 0.639 0.639
10 Ni 0.639 0.639 0.881
11 Ni 0.361 0.119 0.361
12 Ni 0.361 0.361 0.119
13 Ni 0.119 0.361 0.361
14 Ni 0.111 0.500 0.889
15 Ni 0.500 0.889 0.111
16 Ni 0.111 0.889 0.500
17 Ni 0.889 0.500 0.111
18 Ni 0.500 0.111 0.889
19 Ni 0.639 0.881 0.639

---

No. 4
Here is a geometry-optimized SrTeIr2 structure from Alexandria. Energies are from PBE.

Properties
For the uncorrected formation energy, the calculation gives 97 meV/atom.

Cell lengths 3.063, 3.985, 7.361 Å; angles 90.00, 90.00, 90.00 degrees
Positions (direct):
1 Ir 0.000 0.000 0.067
2 Ir 0.500 0.500 0.176
3 Sr 0.000 0.000 0.468
4 Te 0.500 0.500 0.789

---

No. 5
Here is a geometry-optimized Li2CoPdN structure from Alexandria. Energies are from PBE.

Properties
For the uncorrected formation energy, the calculation gives -280 meV/atom.

Cell lengths 4.031, 4.031, 3.470 Å; angles 90.00, 90.00, 90.00 degrees
Positions (direct):
1 Li 0.000 0.500 0.000
2 Li 0.500 0.000 0.000
3 Co 0.000 0.000 0.500
4 Pd 0.500 0.500 0.500
5 N 0.000 0.000 0.000

---

No. 6
Here is a geometry-optimized TaZnAg3 structure from Alexandria. Energies are from PBE.

Properties
Its formation energy is 1107 meV per atom.

Cell lengths 4.673, 4.673, 4.673 Å; angles 90.00, 90.00, 90.00 degrees
Positions (direct):
1 Zn 0.000 0.000 0.000
2 Ag 0.000 0.500 0.000
3 Ag 0.000 0.000 0.500
4 Ag 0.500 0.000 0.000
5 Ta 0.500 0.500 0.500

---

No. 7
Here is a geometry-optimized TcMoP2S structure from Alexandria. Energies are from PBE.

Properties
For the uncorrected formation energy, the calculation gives 927 meV/atom.

Cell lengths 4.450, 4.450, 5.069 Å; angles 90.00, 90.00, 90.00 degrees
Positions (direct):
1 S 0.000 0.000 0.500
2 P 0.000 0.500 0.000
3 P 0.500 0.000 0.000
4 Mo 0.500 0.500 0.500
5 Tc 0.000 0.000 0.000

---

No. 8
Here is a geometry-optimized Er2AlSi3Pd4 structure from Alexandria. Energies are from PBE.

Properties
For the uncorrected formation energy, the calculation gives -899 meV/atom.

Cell lengths 4.130, 4.130, 10.212 Å; angles 90.00, 90.00, 90.00 degrees
Positions (direct):
1 Er 0.500 0.000 0.248
2 Er 0.000 0.500 0.752
3 Al 0.500 0.500 0.500
4 Si 0.000 0.000 0.500
5 Si 0.500 0.000 0.868
6 Si 0.000 0.500 0.132
7 Pd 0.500 0.500 0.000
8 Pd 0.000 0.000 0.000
9 Pd 0.500 0.000 0.637
10 Pd 0.000 0.500 0.363

---

Number 1: E -0.298 Ha/atom. Number 2: E -0.130 Ha/atom. Number 3: E -0.161 Ha/atom. Number 4: E -0.204 Ha/atom. Number 5: E -0.190 Ha/atom. Number 6: E -0.119 Ha/atom. Number 7: E -0.232 Ha/atom. Number 8: E -0.216 Ha/atom.